[1]
VASP calculation (PBE) on a geometry-optimized CaIr2W structure.

Geometry as extended XYZ:
```
4
Lattice="-1.412 2.343 5.314 1.412 -2.343 5.314 1.412 2.343 -5.314" Properties=species:S:1:pos:R:3 pbc="T T T"
Ca 0.000 0.000 0.000
Ir 1.412 0.000 2.925
Ir 0.000 0.000 5.258
W 0.000 2.343 2.208
```

Properties
SG ... Imm2 (44)
Magnetic moment ... 0.000 μB per cell
Formation energy ... 0.057 eV per atom
ΔE to the lowest computed polymorph ... 0.2275 eV per atom
Electronic total energy ... -0.298 hartree per atom

***

[2]
VASP calculation (PBE) on a geometry-optimized Ca2IrW structure.

Geometry as extended XYZ:
```
4
Lattice="2.119 1.224 7.406 -2.119 1.224 7.406 0.000 -2.447 7.406" Properties=species:S:1:pos:R:3 pbc="T T T"
Ca 0.000 0.000 0.000
Ca 0.000 0.000 4.132
Ir 0.000 0.000 17.106
W 0.000 0.000 9.314
```

Properties
SG ... R3m (160)
Magnetic moment ... 0.000 μB per cell
Formation energy ... 0.049 eV per atom
ΔE to the lowest computed polymorph ... 0.0000 eV per atom
Electronic total energy ... -0.235 hartree per atom

***

Repeat the first record exactly.
VASP calculation (PBE) on a geometry-optimized CaIr2W structure.

Geometry as extended XYZ:
```
4
Lattice="-1.412 2.343 5.314 1.412 -2.343 5.314 1.412 2.343 -5.314" Properties=species:S:1:pos:R:3 pbc="T T T"
Ca 0.000 0.000 0.000
Ir 1.412 0.000 2.925
Ir 0.000 0.000 5.258
W 0.000 2.343 2.208
```

Properties
SG ... Imm2 (44)
Magnetic moment ... 0.000 μB per cell
Formation energy ... 0.057 eV per atom
ΔE to the lowest computed polymorph ... 0.2275 eV per atom
Electronic total energy ... -0.298 hartree per atom

***

What did the second record say?
VASP calculation (PBE) on a geometry-optimized Ca2IrW structure.

Geometry as extended XYZ:
```
4
Lattice="2.119 1.224 7.406 -2.119 1.224 7.406 0.000 -2.447 7.406" Properties=species:S:1:pos:R:3 pbc="T T T"
Ca 0.000 0.000 0.000
Ca 0.000 0.000 4.132
Ir 0.000 0.000 17.106
W 0.000 0.000 9.314
```

Properties
SG ... R3m (160)
Magnetic moment ... 0.000 μB per cell
Formation energy ... 0.049 eV per atom
ΔE to the lowest computed polymorph ... 0.0000 eV per atom
Electronic total energy ... -0.235 hartree per atom